No. 1
A plane-wave DFT calculation with GGA-PBE was carried out for crystalline HoNi2Ir4 at its relaxed geometry.

Values from the calculation:
ΔH_f (0 K) = -0.219 eV per atom
DOS(E_F) = 1.19 states/eV/atom
E = -7.588 eV per atom

The structure in POSCAR format:
```
HoNi2Ir4
1.0
-3.296 3.296 2.461
3.296 -3.296 2.461
3.296 3.296 -2.461
Ho Ni Ir
1 2 4
direct
0.000 0.000 0.000
0.250 0.750 0.500
0.750 0.250 0.500
0.304 0.304 0.607
0.304 0.696 0.000
0.696 0.304 0.000
0.696 0.696 0.393
```

---

No. 2
A plane-wave DFT calculation with GGA-PBE was carried out for crystalline DyHoPt at its relaxed geometry.

Values from the calculation:
ΔH_f (0 K) = -0.905 eV per atom
DOS(E_F) = 1.06 states/eV/atom
E = -5.978 eV per atom

The structure in POSCAR format:
```
DyHoPt
1.0
4.692 0.000 0.000
0.000 6.031 4.008
0.000 -6.031 4.008
Dy Ho Pt
3 3 3
direct
0.000 0.000 0.000
0.000 0.215 0.634
0.000 0.634 0.215
0.500 0.328 0.328
0.500 0.581 0.854
0.500 0.854 0.581
0.000 0.612 0.612
0.500 0.221 0.905
0.500 0.905 0.221
```

---

No. 3
A plane-wave DFT calculation with GGA-PBE was carried out for crystalline MgTiCuSn2 at its relaxed geometry.

Values from the calculation:
ΔH_f (0 K) = 0.872 eV per atom
DOS(E_F) = 1.08 states/eV/atom
E = -3.447 eV per atom

The structure in POSCAR format:
```
MgTiCuSn2
1.0
5.220 0.000 0.000
0.000 5.220 0.000
0.000 0.000 4.507
Mg Ti Cu Sn
1 1 1 2
direct
0.000 0.000 0.000
0.500 0.500 0.500
0.000 0.000 0.500
0.000 0.500 0.000
0.500 0.000 0.000
```